Entry 1:
NbZnPt: single point on PBEsol structure, SCAN. Values from VASP.

Output
The calculation puts the formation enthalpy at 0 K at -0.6312 eV/atom. As for the crystal system: orthorhombic.

Geometry as Quantum ESPRESSO input:
```
&SYSTEM
  ibrav = 0, nat = 6, ntyp = 3
/
ATOMIC_SPECIES
Nb 92.91 Nb.upf
Zn 65.41 Zn.upf
Pt 195.08 Pt.upf
ATOMIC_POSITIONS angstrom
Nb 2.015 -0.372 4.193
Nb 1.110 2.139 3.997
Zn -0.662 0.159 5.074
Zn 1.198 0.949 6.604
Pt 0.850 1.021 9.128
Pt -0.315 0.086 2.550
CELL_PARAMETERS angstrom
-2.590 -0.660 3.488
2.457 -1.598 4.289
0.668 3.365 3.901
```

---

Entry 2:
Y2TaTe: single point on PBEsol structure, SCAN. Values from VASP.

Output
For the uncorrected formation energy, the calculation gives -0.170 eV per atom. As for the crystal system: monoclinic.

Geometry as Quantum ESPRESSO input:
```
&SYSTEM
  ibrav = 0, nat = 4, ntyp = 3
/
ATOMIC_SPECIES
Ta 180.95 Ta.upf
Te 127.60 Te.upf
Y 88.91 Y.upf
ATOMIC_POSITIONS angstrom
Ta 0.684 -2.547 1.428
Te 2.887 -1.260 2.702
Y 2.341 -1.199 5.951
Y -0.092 -0.288 3.458
CELL_PARAMETERS angstrom
-2.281 -2.095 1.460
3.864 -3.546 0.947
0.931 4.405 3.761
```

---

Entry 3:
YTcTe3: single point on PBEsol structure, SCAN. Values from VASP.

Output
For the uncorrected formation energy, the calculation gives 0.525 eV per atom. As for the crystal system: cubic.

Geometry as Quantum ESPRESSO input:
```
&SYSTEM
  ibrav = 0, nat = 5, ntyp = 3
/
ATOMIC_SPECIES
Y 88.91 Y.upf
Te 127.60 Te.upf
Tc 98.00 Tc.upf
ATOMIC_POSITIONS angstrom
Y 0.000 0.000 0.000
Te 0.000 2.847 0.000
Te 0.000 0.000 2.847
Te 2.847 0.000 0.000
Tc 2.847 2.847 2.847
CELL_PARAMETERS angstrom
5.694 0.000 0.000
0.000 5.694 0.000
0.000 0.000 5.694
```

---

Entry 4:
Mn2TlW: single point on PBEsol structure, SCAN. Values from VASP.

Output
The calculation puts the formation enthalpy at 0 K at 0.4852 eV/atom. As for the crystal system: tetragonal. The offset from the most stable computed form is 0.016 eV/atom.

Geometry as Quantum ESPRESSO input:
```
&SYSTEM
  ibrav = 0, nat = 4, ntyp = 3
/
ATOMIC_SPECIES
Mn 54.94 Mn.upf
Tl 204.38 Tl.upf
W 183.84 W.upf
ATOMIC_POSITIONS angstrom
Mn 4.172 -1.058 1.144
Mn 1.656 -0.420 0.454
Tl -0.034 -1.641 -1.393
W 2.880 -2.380 -0.594
CELL_PARAMETERS angstrom
-0.787 -2.937 0.152
0.718 -0.344 -2.938
5.828 -1.478 1.598
```

---

Entry 5:
PrAs: single point on PBEsol structure, SCAN. Values from VASP.

Output
The calculation puts the formation enthalpy at 0 K at -1.6970 eV/atom. As for the crystal system: cubic.

Geometry as Quantum ESPRESSO input:
```
&SYSTEM
  ibrav = 0, nat = 2, ntyp = 2
/
ATOMIC_SPECIES
Pr 140.91 Pr.upf
As 74.92 As.upf
ATOMIC_POSITIONS angstrom
Pr -2.978 3.494 2.448
As 0.000 0.000 0.000
CELL_PARAMETERS angstrom
-1.064 4.107 0.215
-3.994 1.114 0.924
-0.897 1.768 3.757
```

---

Entry 6:
La2Al: single point on PBEsol structure, SCAN. Values from VASP.

Output
The calculation puts the formation enthalpy at 0 K at -0.2757 eV/atom. As for the crystal system: orthorhombic.

Geometry as Quantum ESPRESSO input:
```
&SYSTEM
  ibrav = 0, nat = 3, ntyp = 2
/
ATOMIC_SPECIES
Al 26.98 Al.upf
La 138.91 La.upf
ATOMIC_POSITIONS angstrom
Al 0.000 0.000 0.000
La 0.000 0.000 3.553
La 1.790 2.242 1.568
CELL_PARAMETERS angstrom
3.580 0.000 0.000
0.000 4.485 0.000
-1.790 -2.242 5.121
```